No. 1
This record from Alexandria describes a geometry-optimized Mg2VGeN4 structure. The functional is PBE-GGA.

```
Mg2VGeN4
1.0
4.585 0.190 0.000
-0.190 4.585 0.000
-2.197 -2.387 4.629
Mg V Ge N
2 1 1 4
Direct
0.750 0.250 0.500
0.250 0.750 0.500
0.500 0.500 0.000
0.000 0.000 0.000
0.637 0.637 0.784
0.363 0.853 0.216
0.853 0.363 0.216
0.147 0.147 0.784
```

Results
Total moment   0.00 μB per formula unit
Formation energy without anion corrections   -648 meV per atom
Energy   -55.412 eV/cell
SG   I-42m (121)

---

No. 2
This record from Alexandria describes a geometry-optimized Y2MgGeN structure. The functional is PBE-GGA.

```
Y2MgGeN
1.0
4.777 0.000 0.000
0.000 4.777 0.000
0.000 0.000 4.239
Y Ge Mg N
2 1 1 1
Direct
0.000 0.500 0.000
0.500 0.000 0.000
0.500 0.500 0.500
0.000 0.000 0.500
0.000 0.000 0.000
```

Results
Total moment   0.00 μB per formula unit
Formation energy without anion corrections   -922 meV per atom
Energy   -32.074 eV/cell
SG   P4/mmm (123)